[1]
VASP calculation (GGA-PBE) on a relaxed structure of GaBiAu2.

Unit cell a=7.0436 b=7.0436 c=7.0436 alpha=90.00 beta=90.00 gamma=90.00
Space group Fm-3m (No. 225)
Unique sites:
Ga 0.0000 0.0000 0.0000 x4
Bi 0.0000 0.0000 0.5000 x4
Au 0.2500 0.2500 0.2500 x8

Values from the calculation:
E = -13.3 eV/f.u.
DOS(E_F) = 0.312 states/eV per atom

---

[2]
VASP calculation (GGA-PBE) on a relaxed structure of GdGaBiAu.

Unit cell a=7.3039 b=7.3039 c=7.3039 alpha=90.00 beta=90.00 gamma=90.00
Space group F-43m (No. 216)
Unique sites:
Gd 0.0000 0.0000 0.0000 x4
Ga 0.2500 0.2500 0.2500 x4
Bi 0.0000 0.0000 0.5000 x4
Au 0.2500 0.2500 0.7500 x4

Values from the calculation:
E = -25.9 eV/f.u.
DOS(E_F) = 0.490 states/eV per atom

---

[3]
VASP calculation (GGA-PBE) on a relaxed structure of GaBi2HAu.

Unit cell a=5.8107 b=5.8107 c=3.4215 alpha=90.00 beta=90.00 gamma=90.00
Space group P4/mmm (No. 123)
Unique sites:
Ga 0.0000 0.0000 0.0000 x1
Bi 0.0000 0.5000 0.5000 x2
H 0.5000 0.5000 0.0000 x1
Au 0.5000 0.5000 0.5000 x1

Values from the calculation:
E = -16.7 eV/f.u.
DOS(E_F) = 0.631 states/eV per atom

---

[4]
VASP calculation (GGA-PBE) on a relaxed structure of Ga2BiHAu.

Unit cell a=5.3618 b=5.3618 c=3.4936 alpha=90.00 beta=90.00 gamma=90.00
Space group P4/mmm (No. 123)
Unique sites:
Ga 0.0000 0.5000 0.0000 x2
Bi 0.0000 0.0000 0.5000 x1
H 0.5000 0.5000 0.5000 x1
Au 0.5000 0.5000 0.0000 x1

Values from the calculation:
E = -16.1 eV/f.u.
DOS(E_F) = 0.417 states/eV per atom

---

[5]
VASP calculation (GGA-PBE) on a relaxed structure of GaHgBiAu.

Unit cell a=7.2452 b=7.2452 c=7.2452 alpha=90.00 beta=90.00 gamma=90.00
Space group F-43m (No. 216)
Unique sites:
Ga 0.0000 0.0000 0.0000 x4
Hg 0.2500 0.2500 0.2500 x4
Bi 0.0000 0.0000 0.5000 x4
Au 0.2500 0.2500 0.7500 x4

Values from the calculation:
E = -10.1 eV/f.u.
DOS(E_F) = 0.505 states/eV per atom

---

[6]
VASP calculation (GGA-PBE) on a relaxed structure of InGaBi2Au4.

Unit cell a=6.3419 b=4.1211 c=7.6735 alpha=90.00 beta=110.45 gamma=90.00
Space group P2/m (No. 10)
Unique sites:
In 0.0000 0.0000 0.0000 x1
Ga 0.0000 0.5000 0.5000 x1
Bi 0.5000 0.0000 0.5000 x1
Bi 0.5000 0.5000 0.0000 x1
Au 0.2028 0.0000 0.7250 x2
Au 0.2118 0.5000 0.2516 x2

Values from the calculation:
E = -27.2 eV/f.u.
DOS(E_F) = 0.492 states/eV per atom

---

[7]
VASP calculation (GGA-PBE) on a relaxed structure of In2GaBi2Au7.

Unit cell a=5.9979 b=5.9546 c=15.7404 alpha=90.00 beta=96.03 gamma=90.00
Space group C2/m (No. 12)
Unique sites:
In 0.0717 0.0000 0.2504 x4
Ga 0.0000 0.5000 0.0000 x2
Bi 0.1051 0.5000 0.4106 x4
Au 0.0000 0.0000 0.0000 x2
Au 0.1093 0.0000 0.4229 x4
Au 0.2126 0.2500 0.8700 x8

Values from the calculation:
E = -39.7 eV/f.u.
DOS(E_F) = 0.460 states/eV per atom

---

[8]
VASP calculation (GGA-PBE) on a relaxed structure of InGaBiAu.

Unit cell a=7.2702 b=7.2702 c=7.2702 alpha=90.00 beta=90.00 gamma=90.00
Space group F-43m (No. 216)
Unique sites:
In 0.0000 0.0000 0.0000 x4
Ga 0.2500 0.2500 0.7500 x4
Bi 0.0000 0.0000 0.5000 x4
Au 0.2500 0.2500 0.2500 x4

Values from the calculation:
E = -12.9 eV/f.u.
DOS(E_F) = 0.257 states/eV per atom

---

[9]
VASP calculation (GGA-PBE) on a relaxed structure of KGaBiAu2.

Unit cell a=4.9656 b=4.9656 c=5.6395 alpha=90.00 beta=90.00 gamma=90.00
Space group P4/mmm (No. 123)
Unique sites:
K 0.0000 0.0000 0.0000 x1
Ga 0.0000 0.0000 0.5000 x1
Bi 0.5000 0.5000 0.0000 x1
Au 0.0000 0.5000 0.5000 x2

Values from the calculation:
E = -13.5 eV/f.u.
DOS(E_F) = 0.605 states/eV per atom

---

[10]
VASP calculation (GGA-PBE) on a relaxed structure of K2Ga3BiAu4.

Unit cell a=4.7867 b=4.7867 c=10.7885 alpha=90.00 beta=90.00 gamma=90.00
Space group P-4m2 (No. 115)
Unique sites:
K 0.0000 0.5000 0.2395 x2
Ga 0.0000 0.5000 0.8909 x2
Ga 0.5000 0.5000 0.5000 x1
Bi 0.0000 0.0000 0.5000 x1
Au 0.0000 0.0000 0.0000 x1
Au 0.0000 0.5000 0.6513 x2
Au 0.5000 0.5000 0.0000 x1

Values from the calculation:
E = -31.2 eV/f.u.
DOS(E_F) = 0.320 states/eV per atom

---

[11]
VASP calculation (GGA-PBE) on a relaxed structure of K2Ga4BiAu3.

Unit cell a=4.7214 b=4.7214 c=11.0832 alpha=90.00 beta=90.00 gamma=90.00
Space group P-4m2 (No. 115)
Unique sites:
K 0.0000 0.5000 0.2413 x2
Ga 0.0000 0.0000 0.0000 x1
Ga 0.0000 0.5000 0.6505 x2
Ga 0.5000 0.5000 0.0000 x1
Bi 0.0000 0.0000 0.5000 x1
Au 0.0000 0.5000 0.8859 x2
Au 0.5000 0.5000 0.5000 x1

Values from the calculation:
E = -30.7 eV/f.u.
DOS(E_F) = 0.369 states/eV per atom

---

[12]
VASP calculation (GGA-PBE) on a relaxed structure of La2Ga3BiAu4.

Unit cell a=4.5217 b=4.5217 c=11.2766 alpha=90.00 beta=90.00 gamma=90.00
Space group P-4m2 (No. 115)
Unique sites:
La 0.0000 0.5000 0.2281 x2
Ga 0.0000 0.5000 0.8799 x2
Ga 0.5000 0.5000 0.5000 x1
Bi 0.0000 0.0000 0.5000 x1
Au 0.0000 0.0000 0.0000 x1
Au 0.0000 0.5000 0.6576 x2
Au 0.5000 0.5000 0.0000 x1

Values from the calculation:
E = -42.1 eV/f.u.
DOS(E_F) = 0.620 states/eV per atom

---

[13]
VASP calculation (GGA-PBE) on a relaxed structure of LiGaBiAu.

Unit cell a=6.9662 b=6.9662 c=6.9662 alpha=90.00 beta=90.00 gamma=90.00
Space group F-43m (No. 216)
Unique sites:
Li 0.0000 0.0000 0.0000 x4
Ga 0.2500 0.2500 0.2500 x4
Bi 0.2500 0.2500 0.7500 x4
Au 0.0000 0.0000 0.5000 x4

Values from the calculation:
E = -12.7 eV/f.u.
DOS(E_F) = 0.719 states/eV per atom

---

[14]
VASP calculation (GGA-PBE) on a relaxed structure of MgGa2Bi2Au7.

Unit cell a=5.9969 b=5.9172 c=14.2854 alpha=90.00 beta=94.13 gamma=90.00
Space group C2/m (No. 12)
Unique sites:
Mg 0.0000 0.0000 0.0000 x2
Ga 0.0558 0.5000 0.2571 x4
Bi 0.1281 0.0000 0.3771 x4
Au 0.0000 0.5000 0.0000 x2
Au 0.1649 0.5000 0.4332 x4
Au 0.2208 0.2515 0.8566 x8

Values from the calculation:
E = -40.4 eV/f.u.
DOS(E_F) = 0.295 states/eV per atom

---

[15]
VASP calculation (GGA-PBE) on a relaxed structure of Na2Ga3BiAu12.

Unit cell a=6.8185 b=6.8185 c=30.4419 alpha=90.00 beta=90.00 gamma=120.00
Space group R-3m (No. 166, hexagonal axes)
Unique sites:
Na 0.0000 0.0000 0.1365 x6
Ga 0.0000 0.5000 0.0000 x9
Bi 0.0000 0.0000 0.5000 x3
Au 0.0484 0.5242 0.8911 x18
Au 0.0597 0.5299 0.6209 x18

Values from the calculation:
E = -55.5 eV/f.u.
DOS(E_F) = 0.379 states/eV per atom

---

[16]
VASP calculation (GGA-PBE) on a relaxed structure of NdGaBiAu.

Unit cell a=7.3840 b=7.3840 c=7.3840 alpha=90.00 beta=90.00 gamma=90.00
Space group F-43m (No. 216)
Unique sites:
Nd 0.0000 0.0000 0.0000 x4
Ga 0.2500 0.2500 0.7500 x4
Bi 0.0000 0.0000 0.5000 x4
Au 0.2500 0.2500 0.2500 x4

Values from the calculation:
E = -16.7 eV/f.u.
DOS(E_F) = 0.477 states/eV per atom

---

[17]
VASP calculation (GGA-PBE) on a relaxed structure of PmGaBiAu.

Unit cell a=7.3605 b=7.3605 c=7.3605 alpha=90.00 beta=90.00 gamma=90.00
Space group F-43m (No. 216)
Unique sites:
Pm 0.0000 0.0000 0.0000 x4
Ga 0.2500 0.2500 0.2500 x4
Bi 0.0000 0.0000 0.5000 x4
Au 0.2500 0.2500 0.7500 x4

Values from the calculation:
E = -16.6 eV/f.u.
DOS(E_F) = 0.428 states/eV per atom

---

[18]
VASP calculation (GGA-PBE) on a relaxed structure of PrGaBiAu.

Unit cell a=7.4124 b=7.4124 c=7.4124 alpha=90.00 beta=90.00 gamma=90.00
Space group F-43m (No. 216)
Unique sites:
Pr 0.0000 0.0000 0.0000 x4
Ga 0.2500 0.2500 0.7500 x4
Bi 0.0000 0.0000 0.5000 x4
Au 0.2500 0.2500 0.2500 x4

Values from the calculation:
E = -16.7 eV/f.u.
DOS(E_F) = 0.517 states/eV per atom

---

[19]
VASP calculation (GGA-PBE) on a relaxed structure of RbGaBiAu3.

Unit cell a=7.0380 b=7.2843 c=7.4565 alpha=90.00 beta=109.46 gamma=90.00
Space group P2_1/m (No. 11)
Unique sites:
Rb 0.0217 0.2500 0.2800 x2
Ga 0.3463 0.7500 0.3768 x2
Bi 0.4479 0.2500 0.9374 x2
Au 0.0282 0.2500 0.7748 x2
Au 0.4877 0.5531 0.6895 x4

Values from the calculation:
E = -19.2 eV/f.u.
DOS(E_F) = 0.164 states/eV per atom

---

[20]
VASP calculation (GGA-PBE) on a relaxed structure of GaBi2SbAu4.

Unit cell a=7.0469 b=4.0334 c=7.1440 alpha=90.00 beta=109.29 gamma=90.00
Space group P2/m (No. 10)
Unique sites:
Ga 0.0000 0.0000 0.0000 x1
Bi 0.5000 0.0000 0.5000 x1
Bi 0.5000 0.5000 0.0000 x1
Sb 0.0000 0.5000 0.5000 x1
Au 0.2155 0.5000 0.2276 x2
Au 0.2268 0.0000 0.7518 x2

Values from the calculation:
E = -28.4 eV/f.u.
DOS(E_F) = 0.422 states/eV per atom

---

[21]
VASP calculation (GGA-PBE) on a relaxed structure of Ga2BiSbAu.

Unit cell a=4.8902 b=4.8902 c=5.8934 alpha=90.00 beta=90.00 gamma=90.00
Space group P4/mmm (No. 123)
Unique sites:
Ga 0.0000 0.5000 0.0000 x2
Bi 0.0000 0.0000 0.5000 x1
Sb 0.5000 0.5000 0.5000 x1
Au 0.0000 0.0000 0.0000 x1

Values from the calculation:
excess energy over the best structure of this formula in the dataset = 0.0 kJ/mol of atoms
E = -16.5 eV/f.u.
DOS(E_F) = 0.531 states/eV per atom

---

[22]
VASP calculation (GGA-PBE) on a relaxed structure of Ga2BiAuSe.

Unit cell a=5.6075 b=5.6075 c=5.2611 alpha=90.00 beta=90.00 gamma=90.00
Space group P4/mmm (No. 123)
Unique sites:
Ga 0.0000 0.5000 0.0000 x2
Bi 0.0000 0.0000 0.0000 x1
Au 0.0000 0.0000 0.5000 x1
Se 0.5000 0.5000 0.5000 x1

Values from the calculation:
E = -13.9 eV/f.u.
DOS(E_F) = 0.579 states/eV per atom

---

[23]
VASP calculation (GGA-PBE) on a relaxed structure of GaSiBiAu2.

Unit cell a=5.3609 b=5.3609 c=5.5272 alpha=90.00 beta=90.00 gamma=90.00
Space group P4/mmm (No. 123)
Unique sites:
Ga 0.0000 0.0000 0.0000 x1
Si 0.5000 0.5000 0.0000 x1
Bi 0.0000 0.0000 0.5000 x1
Au 0.0000 0.5000 0.5000 x2

Values from the calculation:
E = -13.7 eV/f.u.
DOS(E_F) = 0.851 states/eV per atom

---

[24]
VASP calculation (GGA-PBE) on a relaxed structure of Sr2Ga3BiAu4.

Unit cell a=4.6210 b=4.6210 c=11.1576 alpha=90.00 beta=90.00 gamma=90.00
Space group P-4m2 (No. 115)
Unique sites:
Sr 0.0000 0.5000 0.2352 x2
Ga 0.0000 0.5000 0.8855 x2
Ga 0.5000 0.5000 0.5000 x1
Bi 0.0000 0.0000 0.5000 x1
Au 0.0000 0.0000 0.0000 x1
Au 0.0000 0.5000 0.6582 x2
Au 0.5000 0.5000 0.0000 x1

Values from the calculation:
E = -34.9 eV/f.u.
DOS(E_F) = 0.558 states/eV per atom

---

[25]
VASP calculation (GGA-PBE) on a relaxed structure of SrGa2BiAu5.

Unit cell a=4.9533 b=4.9533 c=9.3394 alpha=90.00 beta=90.00 gamma=90.00
Space group P4/mmm (No. 123)
Unique sites:
Sr 0.0000 0.0000 0.0000 x1
Ga 0.5000 0.5000 0.2657 x2
Bi 0.0000 0.0000 0.5000 x1
Au 0.0000 0.5000 0.3152 x4
Au 0.5000 0.5000 0.0000 x1

Values from the calculation:
E = -30.0 eV/f.u.
DOS(E_F) = 0.378 states/eV per atom